No. 1
Entry from the Alexandria database: a relaxed Mn3Cr5O16 crystal (GGA-PBEsol).

Summary:
Its space group is Cm, No. 8. The density of states at the Fermi level comes out at 10.3 states/eV per cell. The value obtained for the total energy is -205.944 eV/cell.

Lattice parameters (Å, degrees): 5.668 5.668 8.667 90.02 90.02 59.83
Atoms (fractional coordinates):
Mn1 0.000 0.000 0.000
Mn2 0.166 0.662 0.498
Mn3 0.662 0.166 0.498
Cr1 0.162 0.162 0.275
Cr2 0.495 0.495 0.774
Cr3 0.501 0.995 0.994
Cr4 0.664 0.664 0.493
Cr5 0.995 0.501 0.994
O1 0.162 0.162 0.885
O2 0.167 0.657 0.890
O3 0.302 0.302 0.125
O4 0.308 0.872 0.127
O5 0.348 0.348 0.626
O6 0.351 0.783 0.626
O7 0.489 0.995 0.390
O8 0.493 0.493 0.384
O9 0.656 0.656 0.892
O10 0.657 0.167 0.890
O11 0.783 0.351 0.626
O12 0.831 0.831 0.606
O13 0.832 0.832 0.107
O14 0.872 0.308 0.127
O15 0.995 0.489 0.390
O16 0.996 0.996 0.387

=====

No. 2
Entry from the Alexandria database: a relaxed TcAs2Ru crystal (GGA-PBEsol).

Summary:
Its space group is R3m, No. 160. The density of states at the Fermi level comes out at 7.3 states/eV per cell. The value obtained for the total energy is -94.391 eV/cell. The energy of formation comes out at 0.047 eV/atom.

Lattice parameters (Å, degrees): 2.856 2.856 28.870 90.00 90.00 120.00
Atoms (fractional coordinates):
Tc1 0.000 0.000 0.000
Tc2 0.333 0.667 0.667
Tc3 0.667 0.333 0.333
As1 0.000 0.000 0.267
As2 0.000 0.000 0.473
As3 0.333 0.667 0.140
As4 0.333 0.667 0.934
As5 0.667 0.333 0.600
As6 0.667 0.333 0.807
Ru1 0.000 0.000 0.741
Ru2 0.333 0.667 0.408
Ru3 0.667 0.333 0.075